#1
## Tl3Pd6Pb (GGA-PBE)

Data for Tl3Pd6Pb after structural relaxation.

Lattice parameters (Å, degrees): 6.093 8.202 8.202 102.23 90.00 90.00
Element x y z (fractional)
Pd: 0.794 0.513 0.054
Pd: 0.044 0.793 0.207
Pd: 0.252 0.012 0.988
Pb: 0.997 0.198 0.802
Pd: 0.752 0.988 0.012
Tl: 0.762 0.580 0.420
Pd: 0.294 0.487 0.946
Pd: 0.655 0.260 0.468
Pd: 0.544 0.207 0.793
Tl: 0.017 0.146 0.278
Pd: 0.155 0.740 0.532
Tl: 0.517 0.854 0.722
Pd: 0.794 0.946 0.487
Tl: 0.017 0.722 0.854
Pd: 0.155 0.468 0.260
Pd: 0.294 0.054 0.513
Pd: 0.655 0.532 0.740
Tl: 0.517 0.278 0.146
Pb: 0.497 0.802 0.198
Tl: 0.262 0.420 0.580

SG ... Cmc2_1
Volume ... 20.03 Å³/atom

#2
## Tl3Pd6Pb (GGA-PBE)

Data for Tl3Pd6Pb after structural relaxation.

Lattice parameters (Å, degrees): 4.690 8.079 10.627 107.47 90.00 90.00
Element x y z (fractional)
Pd: 0.250 0.073 0.837
Pd: 0.250 0.345 0.101
Pd: 0.750 0.233 0.728
Pd: 0.750 0.709 0.425
Tl: 0.250 0.856 0.017
Tl: 0.750 0.515 0.616
Pd: 0.750 0.881 0.723
Pd: 0.750 0.927 0.163
Tl: 0.250 0.485 0.384
Tl: 0.250 0.423 0.861
Pd: 0.750 0.312 0.257
Pd: 0.250 0.291 0.575
Pb: 0.750 0.091 0.433
Pd: 0.750 0.655 0.899
Pb: 0.250 0.909 0.567
Tl: 0.750 0.577 0.139
Pd: 0.250 0.688 0.743
Pd: 0.250 0.767 0.272
Tl: 0.750 0.144 0.983
Pd: 0.250 0.119 0.277

SG ... P2_1/m
Volume ... 19.20 Å³/atom

#2 is favored, and the nearest alternative lies 64 meV/atom above it.